Compound: Mg3AlGa4
Source: Alexandria via LeMat-Bulk
Functional: GGA-PBE
Structure: optimized geometry

Cell lengths 3.056, 7.123, 7.838 Å; angles 106.82, 101.24, 90.00 degrees
Element x y z (fractional)
1 Ga 0.379 0.205 0.758
2 Ga 0.665 0.460 0.329
3 Ga 0.621 0.795 0.242
4 Ga 0.335 0.540 0.671
5 Mg 0.813 0.861 0.626
6 Mg 0.187 0.139 0.374
7 Mg 0.000 0.500 0.000
8 Al 0.500 0.000 0.000

* density of states at the Fermi level: 2.4 states/eV per cell
* formation energy: -0.019 eV per atom
* total magnetic moment: 0.00 μB per atom
* volume: 159.9 Å³/cell
* energy: -2.598 eV per atom

Compound: Mg6AlGa8
Source: Alexandria via LeMat-Bulk
Functional: GGA-PBE
Structure: optimized geometry

Cell lengths 7.469, 7.469, 7.469 Å; angles 61.05, 61.05, 61.05 degrees
Element x y z (fractional)
1 Ga 0.175 0.814 0.382
2 Ga 0.397 0.397 0.397
3 Ga 0.825 0.186 0.618
4 Ga 0.814 0.382 0.175
5 Ga 0.618 0.825 0.186
6 Ga 0.186 0.618 0.825
7 Ga 0.603 0.603 0.603
8 Ga 0.382 0.175 0.814
9 Mg 0.966 0.463 0.729
10 Mg 0.729 0.966 0.463
11 Mg 0.271 0.034 0.537
12 Mg 0.463 0.729 0.966
13 Mg 0.034 0.537 0.271
14 Mg 0.537 0.271 0.034
15 Al 0.000 0.000 0.000

* density of states at the Fermi level: 5.7 states/eV per cell
* formation energy: -0.042 eV per atom
* total magnetic moment: 0.00 μB per atom
* volume: 301.6 Å³/cell
* energy: -2.544 eV per atom

Compound: Mg6Al2Ga
Source: Alexandria via LeMat-Bulk
Functional: GGA-PBE
Structure: optimized geometry

Cell lengths 5.831, 8.127, 8.127 Å; angles 98.43, 93.97, 93.97 degrees
Element x y z (fractional)
1 Al 0.615 0.376 0.402
2 Al 0.115 0.402 0.376
3 Al 0.885 0.598 0.624
4 Al 0.385 0.624 0.598
5 Mg 0.508 0.326 0.739
6 Mg 0.211 0.934 0.754
7 Mg 0.803 0.414 0.082
8 Mg 0.492 0.674 0.261
9 Mg 0.711 0.754 0.934
10 Mg 0.789 0.066 0.246
11 Mg 0.303 0.082 0.414
12 Mg 0.197 0.586 0.918
13 Mg 0.289 0.246 0.066
14 Mg 0.008 0.739 0.326
15 Mg 0.992 0.261 0.674
16 Mg 0.697 0.918 0.586
17 Ga 0.750 0.092 0.908
18 Ga 0.250 0.908 0.092

* density of states at the Fermi level: 7.9 states/eV per cell
* formation energy: -0.010 eV per atom
* total magnetic moment: 0.00 μB per atom
* volume: 378.9 Å³/cell
* energy: -2.241 eV per atom